Entry from Alexandria: CaRu2W after structural relaxation (GGA-PBE).

Summary:
- E_tot: -31.8 eV per cell
- Fermi-level density of states: 4.795 states/eV/f.u.
- E_form: 1.7 eV/f.u.

```
data_CaRu2W
_chemical_formula_sum 'Ca1 Ru2 W1'
_space_group_name_H-M_alt 'P 1'
_space_group_IT_number 1
_cell_length_a 5.665
_cell_length_b 5.665
_cell_length_c 5.665
_cell_angle_alpha 149.32
_cell_angle_beta 131.55
_cell_angle_gamma 58.45
loop_
_space_group_symop_operation_xyz
'x,y,z'
loop_
_atom_site_label
_atom_site_fract_x
_atom_site_fract_y
_atom_site_fract_z
_atom_site_occupancy
Ru1 0.974 0.974 0.000 1
Ru2 0.743 0.243 0.500 1
Ca1 0.250 0.750 0.500 1
W1 0.533 0.533 0.000 1
```